Compound: MnGeMo2Se
Source: Alexandria via LeMat-Bulk
Functional: PBE
Structure: optimized geometry Values from VASP.

Cell and atoms, written as Quantum ESPRESSO input:
```
&SYSTEM
  ibrav = 0, nat = 5, ntyp = 4
/
ATOMIC_SPECIES
Mo 95.94 Mo.upf
Ge 72.64 Ge.upf
Mn 54.94 Mn.upf
Se 78.96 Se.upf
ATOMIC_POSITIONS crystal
Mo 0.000 0.000 0.500
Ge 0.000 0.500 0.000
Mo 0.500 0.000 0.000
Mn 0.000 0.000 0.000
Se 0.500 0.500 0.500
CELL_PARAMETERS angstrom
4.575 0.000 0.000
0.000 4.389 0.000
0.000 0.000 4.575
```

## Properties
As for the space group: P4/mmm. The uncorrected formation energy is 0.928 eV per atom. Its calculated total energy is -34.29 eV for the cell shown. The value obtained for the total magnetization is 1.51 μB/f.u.